The following is a GGA-PBE calculation of a relaxed structure of AcNiBiPd, from Alexandria.

- SG = F-43m (216)
- E_form (eV per atom) = -0.37
- crystal system = cubic

Cell and atoms, written as POSCAR:
```
AcNiBiPd
1.0
5.0704 0.0000 0.0000
2.5352 4.3911 0.0000
2.5352 1.4637 4.1400
Ac Ni Bi Pd
1 1 1 1
direct
0.2500 0.2500 0.2500
0.0000 0.0000 0.0000
0.7500 0.7500 0.7500
0.5000 0.5000 0.5000
```